(1)
DFT (PBE) results for Ti2V3H5 after structural relaxation.

Properties
Space group   Ibam (72)
VASP energy   -6.090 eV/atom

Unit cell a=5.0981 b=6.7347 c=6.7347 alpha=57.51 beta=67.76 gamma=67.76
Sites, in units of the cell vectors:
H: 0.4364 0.3136 0.3136
H: 0.5636 0.6864 0.6864
H: 0.7500 0.5000 0.5000
H: 0.9364 0.3136 0.3136
H: 0.6270 0.8140 0.9321
H: 0.3730 0.1860 0.0679
H: 0.8730 0.0679 0.1860
H: 0.0636 0.6864 0.6864
H: 0.1270 0.9321 0.8140
H: 0.2500 0.5000 0.5000
V: 0.9270 0.7293 0.4166
V: 0.4270 0.4166 0.7293
V: 0.2500 0.0000 0.0000
V: 0.5730 0.5834 0.2707
V: 0.0730 0.2707 0.5834
V: 0.7500 0.0000 0.0000
Ti: 0.6913 0.0922 0.5252
Ti: 0.1913 0.5252 0.0922
Ti: 0.3087 0.9078 0.4748
Ti: 0.8087 0.4748 0.9078

(2)
DFT (PBE) results for Hf2SbS after structural relaxation.

Properties
ΔE to the lowest computed polymorph   243 meV/atom
E_form (uncorrected)   -0.61 eV per atom
Space group   Fm-3m (225)
VASP energy   -7.647 eV/atom

Unit cell a=4.8118 b=4.8118 c=4.8118 alpha=60.00 beta=60.00 gamma=60.00
Sites, in units of the cell vectors:
Sb: 0.5000 0.5000 0.5000
Hf: 0.2500 0.2500 0.2500
Hf: 0.7500 0.7500 0.7500
S: 0.0000 0.0000 0.0000

no.,total magnetization (μB per cell)
1,0.00
2,0.00